## MgHgRu2 (GGA-PBEsol)

Data for a relaxed MgHgRu2 crystal.

a = 2.798 Å, b = 4.623 Å, c = 4.917 Å
α = 90.00°, β = 94.18°, γ = 90.00°
Fractional coordinates of all 4 atoms:
Hg: 0.500 0.500 0.000
Mg: 0.000 0.500 0.500
Ru: 0.751 0.000 0.724
Ru: 0.249 0.000 0.276

E_form ... 0.39 eV per atom
ρ ... 11.2 g/cm3
Crystal system ... monoclinic